Entry 1:
La2YMgTe5 | PBE-GGA | optimized geometry

Computed properties:
SG = Cmc2_1
E_form (uncorrected) = -1359 meV/atom

a = 4.4264 Å, b = 9.8322 Å, c = 13.5756 Å
α = 90.00°, β = 90.00°, γ = 103.01°
Sites, in units of the cell vectors:
La (0.8682, 0.7364, 0.8073)
La (0.1131, 0.2262, 0.6836)
La (0.1318, 0.2636, 0.3073)
La (0.8869, 0.7738, 0.1836)
Y (0.7964, 0.5928, 0.5133)
Y (0.2036, 0.4072, 0.0133)
Mg (0.5551, 0.1103, 0.9537)
Mg (0.4449, 0.8897, 0.4537)
Te (0.3631, 0.7263, 0.0001)
Te (0.6893, 0.3786, 0.8514)
Te (0.4958, 0.9916, 0.7733)
Te (0.2853, 0.5706, 0.6706)
Te (0.9514, 0.9029, 0.5706)
Te (0.6369, 0.2737, 0.5001)
Te (0.3107, 0.6214, 0.3514)
Te (0.5042, 0.0084, 0.2733)
Te (0.7147, 0.4294, 0.1706)
Te (0.0486, 0.0971, 0.0706)

***

Entry 2:
LiNbO | PBE-GGA | optimized geometry

Computed properties:
SG = R-3m
E_form (uncorrected) = -883 meV/atom

a = 3.5382 Å, b = 3.5382 Å, c = 9.0073 Å
α = 78.67°, β = 78.67°, γ = 60.00°
Sites, in units of the cell vectors:
Nb (0.2968, 0.2968, 0.1095)
Nb (0.7032, 0.7032, 0.8905)
Li (0.1248, 0.1248, 0.6257)
Li (0.8752, 0.8752, 0.3743)
O (0.3877, 0.3877, 0.8369)
O (0.6123, 0.6123, 0.1631)

***

Entry 3:
LaNdPu2As4 | PBE-GGA | optimized geometry

Computed properties:
SG = P2/m
Energy relative to the elements = -958 kJ/mol of formula units

a = 4.2352 Å, b = 7.3130 Å, c = 7.3301 Å
α = 70.46°, β = 90.00°, γ = 90.00°
Sites, in units of the cell vectors:
La (0.0000, 0.5000, 0.5000)
Nd (0.5000, 0.5000, 0.0000)
Pu (0.0000, 0.0000, 0.0000)
Pu (0.5000, 0.0000, 0.5000)
As (0.0000, 0.7632, 0.7473)
As (0.0000, 0.2368, 0.2527)
As (0.5000, 0.7647, 0.2418)
As (0.5000, 0.2353, 0.7582)

***

Entry 4:
Si2TcPdSe | PBE-GGA | optimized geometry

Computed properties:
SG = P4/mmm
E_form (uncorrected) = 709 meV/atom

a = 4.5579 Å, b = 5.0870 Å, c = 4.5579 Å
α = 90.00°, β = 90.00°, γ = 90.00°
Sites, in units of the cell vectors:
Si (0.0000, 0.0000, 0.5000)
Si (0.5000, 0.0000, 0.0000)
Se (0.5000, 0.5000, 0.5000)
Tc (0.0000, 0.0000, 0.0000)
Pd (0.0000, 0.5000, 0.0000)